No. 1
12
Lattice="8.9350 -1.9701 0.0000 8.9350 1.9701 0.0000 -2.4272 0.0000 7.8864" Properties=species:S:1:pos:R:3 comment="Pr6C2Se3N GGA-PBE optimized geometry" crystal_system=monoclinic total_energy_ev_per_cell=-80.124 formation_energy_uncorrected_mev_per_atom=-1185 pbc="T T T"
Pr -0.3643 0.0000 1.7754
Pr 4.7322 0.0000 3.4737
Pr 3.9600 0.0000 7.0493
Pr 11.4827 0.0000 0.8371
Pr 10.7105 0.0000 4.4127
Pr 15.8070 0.0000 6.1110
C 2.1228 0.0000 2.5870
C 13.3199 0.0000 5.2994
Se 0.9559 0.0000 6.5704
Se 7.7214 0.0000 3.9432
Se 14.4868 0.0000 1.3160
N 8.9350 0.0000 0.0000

No. 2
7
Lattice="4.8474 -2.1678 0.0000 4.8474 2.1678 0.0000 -0.9757 0.0000 7.0832" Properties=species:S:1:pos:R:3 comment="Pr2CSe2N2 GGA-PBE optimized geometry" crystal_system=monoclinic total_energy_ev_per_cell=-51.394 formation_energy_uncorrected_mev_per_atom=-1284 pbc="T T T"
Pr 1.5037 0.0000 1.8275
Pr 7.2154 0.0000 5.2557
C 4.3596 0.0000 3.5416
Se 0.4219 0.0000 5.9300
Se 8.2972 0.0000 1.1532
N 3.1741 0.0000 3.9028
N 5.5450 0.0000 3.1804

No. 3
15
Lattice="3.8971 2.2500 6.9565 -3.8971 2.2500 6.9565 0.0000 -4.5000 6.9565" Properties=species:S:1:pos:R:3 comment="Pr8C3Se3N GGA-PBE optimized geometry" crystal_system=trigonal total_energy_ev_per_cell=-98.773 formation_energy_uncorrected_mev_per_atom=-939 pbc="T T T"
Pr 0.0000 0.0000 4.9324
Pr -1.9384 -1.1191 11.8446
Pr 0.0000 -2.2382 9.0248
Pr -1.9384 1.1191 9.0248
Pr 1.9384 -1.1191 11.8446
Pr 0.0000 2.2382 11.8446
Pr 1.9384 1.1191 9.0249
Pr 0.0000 0.0000 15.9370
C -3.8971 0.0000 10.4347
C -1.9485 1.1250 3.4782
C 1.9485 1.1250 3.4782
Se -1.9485 -1.1250 6.9565
Se -1.9485 1.1250 13.9130
Se 0.0000 2.2500 6.9565
N 0.0000 0.0000 10.4347

No. 4
8
Lattice="6.7834 0.0000 0.0000 0.0000 3.9237 0.0000 -2.2670 0.0000 6.8745" Properties=species:S:1:pos:R:3 comment="Pr4CSe2N GGA-PBE optimized geometry" crystal_system=monoclinic total_energy_ev_per_cell=-53.944 formation_energy_uncorrected_mev_per_atom=-1288 pbc="T T T"
Pr 1.1286 0.0000 1.4055
Pr -0.0053 1.9618 5.4414
Pr 4.5217 1.9618 1.4331
Pr 3.3878 0.0000 5.4690
C 3.3917 0.0000 0.0000
Se -1.1335 0.0000 3.4373
Se 2.2582 1.9618 3.4373
N 0.0000 1.9618 0.0000

No. 5
12
Lattice="3.3772 -5.8506 0.0000 3.3772 5.8506 0.0000 -2.2487 0.0000 6.8743" Properties=species:S:1:pos:R:3 comment="Pr6CSe3N2 GGA-PBE optimized geometry" crystal_system=monoclinic total_energy_ev_per_cell=-81.674 formation_energy_uncorrected_mev_per_atom=-1389 pbc="T T T"
Pr -0.0016 1.9578 5.4613
Pr 1.1159 0.0000 1.4061
Pr -0.0016 -1.9578 5.4613
Pr 4.5074 1.9578 1.4129
Pr 3.3898 0.0000 5.4682
Pr 4.5074 -1.9578 1.4129
C 3.3772 0.0000 0.0000
Se -1.1243 0.0000 3.4371
Se 2.2529 1.9364 3.4371
Se 2.2529 -1.9364 3.4371
N 3.3772 3.9005 0.0000
N 3.3772 -3.9005 0.0000

No. 6
11
Lattice="5.3936 0.0000 0.0000 -1.1351 5.3859 0.0000 -1.5881 -2.8592 5.5966" Properties=species:S:1:pos:R:3 comment="Pr2TlC2N6 GGA-PBE optimized geometry" crystal_system=triclinic total_energy_ev_per_cell=-83.235 formation_energy_uncorrected_mev_per_atom=-265 pbc="T T T"
Pr 0.5598 -0.4282 1.8604
Pr 2.1106 2.9548 3.7362
Tl 2.1293 2.6929 0.0000
C -0.6400 1.9916 4.2318
C 3.3104 0.5350 1.3649
N -1.5920 1.6441 5.1109
N -0.6396 3.1984 3.5920
N 0.4049 1.1244 3.9269
N 2.2656 1.4022 1.6697
N 3.3101 -0.6718 2.0047
N 4.2624 0.8825 0.4857

No. 7
12
Lattice="5.3635 0.0000 0.0000 -2.6817 4.6449 0.0000 0.0000 0.0000 6.5442" Properties=species:S:1:pos:R:3 comment="Pr3ZnC2N6 GGA-PBE optimized geometry" crystal_system=trigonal total_energy_ev_per_cell=-90.554 formation_energy_uncorrected_mev_per_atom=-545 pbc="T T T"
Pr 0.0000 0.0000 0.0000
Pr 0.0000 3.0966 4.3428
Pr 2.6817 1.5483 2.2014
Zn 0.0000 0.0000 3.2721
C 0.0000 3.0966 1.7991
C 2.6817 1.5483 4.7451
N 0.0000 1.7231 1.8338
N -1.1895 3.7834 1.8338
N 1.4923 0.8616 4.7104
N 1.1895 3.7834 1.8338
N 3.8712 0.8616 4.7104
N 2.6817 2.9218 4.7104

No. 8
5
Lattice="3.9475 0.0000 0.0000 0.0000 3.9475 0.0000 0.0000 0.0000 3.9475" Properties=species:S:1:pos:R:3 comment="PtC3N GGA-PBE optimized geometry" crystal_system=cubic total_energy_ev_per_cell=-24.787 de_polymorph_kj_per_mol_fu=208.9 formation_energy_uncorrected_mev_per_atom=3450 pbc="T T T"
Pt 0.0000 0.0000 0.0000
C 0.0000 0.0000 1.9738
C 0.0000 1.9738 0.0000
C 1.9738 0.0000 0.0000
N 1.9738 1.9738 1.9738

No. 9
20
Lattice="-3.4961 3.4961 6.6354 3.4961 -3.4961 6.6354 3.4961 3.4961 -6.6354" Properties=species:S:1:pos:R:3 comment="PtC2N2 GGA-PBE optimized geometry" crystal_system=tetragonal total_energy_ev_per_cell=-153.174 formation_energy_uncorrected_mev_per_atom=569 pbc="T T T"
Pt 5.2442 1.5242 -1.6589
Pt 1.5242 1.7481 1.6589
Pt -1.7481 1.9720 4.9766
Pt 1.9720 1.7481 8.2943
C 1.7626 -0.1194 0.9965
C 3.3767 1.7626 -2.3212
C 5.2297 0.1194 0.9965
C 3.6156 -1.7336 5.6389
C 0.1194 1.7336 4.3142
C 1.7336 -0.1194 8.9567
C 3.3767 1.7336 5.6389
C 1.7626 3.6156 2.3212
N 2.4915 2.0088 -3.0568
N 4.9835 1.0046 0.2609
N 1.0046 2.0088 -0.2609
N 1.0046 1.4874 3.5787
N 1.4874 -1.0046 9.6922
N 2.4915 1.4874 6.3745
N 2.0088 4.5008 3.0568
N -1.4874 2.4915 6.8964

No. 10
8
Lattice="-2.3949 2.3949 4.6802 2.3949 -2.3949 4.6802 2.3949 2.3949 -4.6802" Properties=species:S:1:pos:R:3 comment="Pt2CN GGA-PBE optimized geometry" crystal_system=tetragonal total_energy_ev_per_cell=-51.661 de_polymorph_kj_per_mol_fu=0.0 formation_energy_uncorrected_mev_per_atom=950 pbc="T T T"
Pt 3.5924 1.1060 -1.1701
Pt 1.1060 1.1975 1.1701
Pt -1.1975 1.2890 3.5102
Pt 1.2890 1.1975 5.8503
C 0.0000 0.0000 0.0000
C 0.0000 2.3949 2.3401
N 2.3949 0.0000 2.3401
N 0.0000 0.0000 4.6802

No. 11
5
Lattice="3.4853 0.0000 0.0000 0.0000 3.4853 0.0000 0.0000 0.0000 3.4853" Properties=species:S:1:pos:R:3 comment="PtC3N GGA-PBE optimized geometry" crystal_system=cubic total_energy_ev_per_cell=-26.952 de_polymorph_kj_per_mol_fu=0.0 formation_energy_uncorrected_mev_per_atom=3017 pbc="T T T"
Pt 0.0000 0.0000 0.0000
C 0.0000 1.7427 1.7427
C 1.7427 0.0000 1.7427
C 1.7427 1.7427 0.0000
N 1.7427 1.7427 1.7427

No. 12
6
Lattice="2.5841 0.0000 0.0000 -1.2911 4.9168 0.0000 -0.0218 -0.6649 5.2581" Properties=species:S:1:pos:R:3 comment="PtCN GGA-PBE optimized geometry" crystal_system=triclinic total_energy_ev_per_cell=-42.910 de_polymorph_kj_per_mol_fu=0.0 formation_energy_uncorrected_mev_per_atom=712 pbc="T T T"
Pt -0.0011 -0.0756 1.2981
Pt 1.2723 4.3274 3.9600
C -0.0212 1.3184 4.5075
C 1.2925 2.9334 0.7506
N 0.0003 2.0903 0.8182
N 1.2709 2.1615 4.4398